A relaxed structure of Li2YTa, computed with GGA-PBEsol.

It has space group P4/mmm (No. 123), with a = 4.7951 Å, b = 4.7951 Å, c = 3.1803 Å, α = 90.00°, β = 90.00° and γ = 90.00°. Symmetry generates all atoms from Li at (0.0000, 0.5000, 0.0000), Y at (0.0000, 0.0000, 0.5000) and Ta at (0.5000, 0.5000, 0.5000).

The formation energy is 0.613 eV per atom. The value obtained for the total energy is -5.214 eV per atom.